# CuSi2

A relaxed structure of CuSi2 (PBE, Alexandria via LeMat-Bulk).

## Properties
* D(E_F): 0.3751 states/eV per atom
* DFT total energy: -4.427 eV/atom
* space group: P4_2/mnm, No. 136
* formation energy from raw total energies: 0.55 eV/atom

Unit cell a=6.1812 b=6.1812 c=2.6625 alpha=90.00 beta=90.00 gamma=90.00
Fractional coordinates of all 6 atoms:
Si (0.7302, 0.2698, 0.5000)
Si (0.7698, 0.7698, 0.0000)
Si (0.2698, 0.7302, 0.5000)
Si (0.2302, 0.2302, 0.0000)
Cu (0.5000, 0.5000, 0.0000)
Cu (0.0000, 0.0000, 0.5000)